1.
# Sr2La2Zr | Alexandria via LeMat-Bulk | PBE-GGA | optimized geometry
data_Sr2La2Zr
_chemical_formula_sum 'Sr4 La4 Zr2'
_symmetry_space_group_name_H-M 'P 4/m b m'
_symmetry_Int_Tables_number 127
_symmetry_space_group_name_Hall '-P 4 2ab'
_cell_length_a 7.919
_cell_length_b 7.919
_cell_length_c 6.438
_cell_angle_alpha 90.00
_cell_angle_beta 90.00
_cell_angle_gamma 90.00
loop_
_atom_site_label
_atom_site_type_symbol
_atom_site_fract_x
_atom_site_fract_y
_atom_site_fract_z
Sr1 Sr 0.180 0.320 0.000
La1 La 0.161 0.661 0.500
Zr1 Zr 0.000 0.000 0.500
# Calculated total energy, eV/cell: -39.275
# Distance to the lowest polymorph of the same formula, meV per atom: 0
# Mass density, g/cm³: 4.5
# ΔE_f, eV/atom: 0.43

2.
# SrLa4Zr | Alexandria via LeMat-Bulk | PBE-GGA | optimized geometry
data_SrLa4Zr
_chemical_formula_sum 'Sr4 La16 Zr4'
_symmetry_space_group_name_H-M 'F -4 3 m'
_symmetry_Int_Tables_number 216
_symmetry_space_group_name_Hall 'F -4 2 3'
_cell_length_a 9.554
_cell_length_b 9.554
_cell_length_c 9.554
_cell_angle_alpha 90.00
_cell_angle_beta 90.00
_cell_angle_gamma 90.00
loop_
_atom_site_label
_atom_site_type_symbol
_atom_site_fract_x
_atom_site_fract_y
_atom_site_fract_z
Sr1 Sr 0.000 0.000 0.000
La1 La 0.120 0.120 0.380
Zr1 Zr 0.250 0.250 0.750
# Calculated total energy, eV/cell: -109.510
# Mass density, g/cm³: 5.6
# ΔE_f, eV/atom: 0.43

Copy entry 1 word for word.
# Sr2La2Zr | Alexandria via LeMat-Bulk | PBE-GGA | optimized geometry
data_Sr2La2Zr
_chemical_formula_sum 'Sr4 La4 Zr2'
_symmetry_space_group_name_H-M 'P 4/m b m'
_symmetry_Int_Tables_number 127
_symmetry_space_group_name_Hall '-P 4 2ab'
_cell_length_a 7.919
_cell_length_b 7.919
_cell_length_c 6.438
_cell_angle_alpha 90.00
_cell_angle_beta 90.00
_cell_angle_gamma 90.00
loop_
_atom_site_label
_atom_site_type_symbol
_atom_site_fract_x
_atom_site_fract_y
_atom_site_fract_z
Sr1 Sr 0.180 0.320 0.000
La1 La 0.161 0.661 0.500
Zr1 Zr 0.000 0.000 0.500
# Calculated total energy, eV/cell: -39.275
# Distance to the lowest polymorph of the same formula, meV per atom: 0
# Mass density, g/cm³: 4.5
# ΔE_f, eV/atom: 0.43

> Among the records above, which one has the highest mass density?

SrLa4Zr

> Number 1 is which compound?

Sr2La2Zr

> Which of these has the lowest mass density?

Sr2La2Zr